(1)
An optimized crystal structure of EuZn2In, computed with PBE-GGA.

abc: 4.691 4.691 4.230
angles: 90.00 90.00 90.00
Atoms (fractional coordinates):
Eu: 0.000 0.000 0.000
Zn: 0.000 0.500 0.500
Zn: 0.500 0.000 0.500
In: 0.500 0.500 0.000

Calculated values
**ΔH_f (0 K)**: -0.70 eV per formula unit
**SG**: P4/mmm, No. 123


(2)
An optimized crystal structure of EuZrIn2, computed with PBE-GGA.

abc: 3.429 3.429 31.256
angles: 90.00 90.00 120.00
Atoms (fractional coordinates):
Eu: 0.000 0.000 0.000
Eu: 0.333 0.667 0.667
Eu: 0.667 0.333 0.333
Zr: 0.000 0.000 0.500
Zr: 0.333 0.667 0.167
Zr: 0.667 0.333 0.833
In: 0.000 0.000 0.245
In: 0.000 0.000 0.755
In: 0.333 0.667 0.422
In: 0.333 0.667 0.911
In: 0.667 0.333 0.089
In: 0.667 0.333 0.578

Calculated values
**ΔH_f (0 K)**: -0.56 eV per formula unit
**Offset from the most stable computed form**: 195 meV/atom
**SG**: R-3m, No. 166


(3)
An optimized crystal structure of EuZrIn2, computed with PBE-GGA.

abc: 5.518 5.518 3.333
angles: 90.00 90.00 90.00
Atoms (fractional coordinates):
Eu: 0.000 0.000 0.000
Zr: 0.500 0.500 0.000
In: 0.000 0.500 0.500
In: 0.500 0.000 0.500

Calculated values
**ΔH_f (0 K)**: -0.97 eV per formula unit
**Offset from the most stable computed form**: 94 meV/atom
**SG**: P4/mmm, No. 123


(4)
An optimized crystal structure of EuZrIn2, computed with PBE-GGA.

abc: 3.326 3.326 9.151
angles: 90.00 90.00 90.00
Atoms (fractional coordinates):
Eu: 0.000 0.000 0.000
Zr: 0.000 0.000 0.500
In: 0.500 0.500 0.270
In: 0.500 0.500 0.730

Calculated values
**ΔH_f (0 K)**: -1.34 eV per formula unit
**Offset from the most stable computed form**: 0 meV/atom
**SG**: P4/mmm, No. 123